Record 1
VASP calculation (PBE) on a relaxed Pm3V5Te12 crystal.

Structure (POSCAR):
```
Pm3V5Te12
1.0
-8.5434 8.5434 8.5434
8.5434 -8.5434 8.5434
8.5434 8.5434 -8.5434
Pm V Te
12 20 48
Cartesian
4.2717 2.1358 0.0000
8.5434 4.2717 -2.1358
2.1358 0.0000 4.2717
10.6792 0.0000 4.2717
0.0000 4.2717 2.1358
4.2717 -2.1358 8.5434
4.2717 10.6792 0.0000
8.5434 4.2717 6.4075
-2.1358 8.5434 4.2717
6.4075 8.5434 4.2717
0.0000 4.2717 10.6792
4.2717 6.4075 8.5434
0.0000 0.0000 0.0000
4.2717 4.2717 -4.2717
4.2717 -4.2717 4.2717
8.5434 0.0000 0.0000
12.8151 2.1358 0.0000
8.5434 -4.2717 6.4075
6.4075 8.5434 -4.2717
6.4075 0.0000 4.2717
4.2717 6.4075 0.0000
8.5434 4.2717 2.1358
-4.2717 4.2717 4.2717
0.0000 8.5434 0.0000
0.0000 0.0000 8.5434
4.2717 4.2717 4.2717
0.0000 4.2717 6.4075
4.2717 2.1358 8.5434
2.1358 8.5434 4.2717
2.1358 0.0000 12.8151
0.0000 12.8151 2.1358
-4.2717 6.4075 8.5434
2.5268 -0.5157 1.0381
10.2883 5.3098 -4.7874
8.0277 -1.0381 2.5268
13.3308 -1.7449 3.2336
11.0702 0.5157 1.0381
10.2883 -3.2336 4.7874
1.0381 2.5268 -0.5157
11.7770 3.7560 -1.7449
5.3098 4.7874 -1.7449
7.5053 2.5268 0.5157
-0.5157 1.0381 2.5268
4.7874 -1.7449 5.3098
8.0277 7.5053 -2.5268
4.7874 1.7449 3.2336
7.5053 -2.5268 8.0277
5.3098 -4.7874 10.2883
3.2336 4.7874 1.7449
9.5815 6.0166 0.5157
2.5268 8.0277 -1.0381
10.2883 3.2336 3.7560
4.7874 10.2883 -3.2336
8.0277 1.0381 6.0166
1.7449 3.2336 4.7874
2.5268 0.5157 7.5053
6.0166 8.0277 1.0381
6.7985 5.3098 3.7560
0.5157 7.5053 2.5268
3.7560 -1.7449 11.7770
-1.7449 5.3098 4.7874
6.0166 0.5157 9.5815
-1.0381 2.5268 8.0277
5.3098 3.7560 6.7985
3.2336 13.3308 -1.7449
1.0381 11.0702 0.5157
3.7560 6.7985 5.3098
0.5157 1.0381 11.0702
3.7560 10.2883 3.2336
9.0591 7.5053 6.0166
1.0381 6.0166 8.0277
3.2336 3.7560 10.2883
-3.2336 4.7874 10.2883
7.5053 6.0166 9.0591
-1.7449 11.7770 3.7560
-2.5268 8.0277 7.5053
-4.7874 10.2883 5.3098
0.5157 9.5815 6.0166
-1.7449 3.2336 13.3308
6.0166 9.0591 7.5053
```

Output
Its space group is Ia-3d.

---

Record 2
VASP calculation (PBE) on a relaxed Rb3Sm3PuO8 crystal.

Structure (POSCAR):
```
Rb3Sm3PuO8
1.0
3.5767 2.0650 6.6642
-3.5767 2.0650 6.6642
0.0000 -4.1301 6.6642
Rb Sm Pu O
3 3 1 8
Cartesian
-1.7884 -1.0325 6.6642
-1.7884 1.0325 13.3284
0.0000 2.0650 6.6642
-3.5767 0.0000 9.9963
-1.7884 1.0325 3.3321
1.7884 1.0325 3.3321
0.0000 0.0000 9.9963
0.0000 0.0000 4.4918
-1.6967 -0.9796 11.1120
0.0000 -1.9591 8.8806
-1.6967 0.9796 8.8806
1.6967 -0.9796 11.1120
0.0000 1.9591 11.1120
1.6967 0.9796 8.8806
0.0000 0.0000 15.5008
```

Output
Its space group is R-3m.

---

Record 3
VASP calculation (PBE) on a relaxed CaSi2Os crystal.

Structure (POSCAR):
```
CaSi2Os
1.0
3.7537 0.0000 0.0000
-1.8768 3.2508 0.0000
0.0000 0.0000 6.2848
Ca Si Os
1 2 1
Cartesian
0.0000 0.0000 0.0000
0.0000 2.1672 1.9623
0.0000 2.1672 4.3225
1.8769 1.0836 3.1424
```

Output
Its space group is P-6m2.

---

Record 4
VASP calculation (PBE) on a relaxed Te2PbSeI crystal.

Structure (POSCAR):
```
Te2PbSeI
1.0
5.9735 0.0000 0.0000
0.0000 5.9735 0.0000
0.0000 0.0000 6.2029
Te Pb Se I
2 1 1 1
Cartesian
0.0000 2.9867 0.0000
2.9867 0.0000 0.0000
0.0000 0.0000 0.0000
2.9867 2.9867 3.1014
0.0000 0.0000 3.1014
```

Output
Its space group is P4/mmm. For the polymorph energy (0 for the lowest one), the calculation gives 507 meV/atom.

---

Calculated density of states at the Fermi level (states/eV/cell), listed in the same order as above: 35.5 4.8 2.4 6.9
Calculated formation energy without anion corrections (kJ per mole of atoms), listed in the same order as above: -55 -261 -26 66